This record from Alexandria describes a geometry-optimized ZrTi2GaO structure. The functional is PBE-GGA.

The structure belongs to space group P4/mmm (No. 123); the cell edges are 4.067, 4.067 and 4.586 Å and the angles 90.00°, 90.00° and 90.00°. Symmetry generates all atoms from Zr at (0.000, 0.000, 0.000), Ti at (0.000, 0.500, 0.500), Ga at (0.500, 0.500, 0.000) and O at (0.000, 0.000, 0.500).

The total magnetic moment is 0.000 μB/atom. The value obtained for the final energy is -38.50 eV for the cell shown. The uncorrected formation energy comes out at -1.234 eV per atom.

This record from Alexandria describes a geometry-optimized Mn2TlCo structure. The functional is PBE-GGA.

The structure belongs to space group I-42d (No. 122); the cell edges are 7.112, 7.112 and 5.312 Å and the angles 90.00°, 90.00° and 90.00°. Symmetry generates all atoms from Mn at (0.203, 0.250, 0.125), Tl at (0.000, 0.000, 0.500) and Co at (0.000, 0.000, 0.000).

The total magnetic moment is 2.049 μB/atom. The value obtained for the formation energy is 0.671 eV per atom. Its energy above the most stable polymorph in this dataset is 375 meV/atom. The value obtained for the final energy is -100.51 eV for the cell shown.

This record from Alexandria describes a geometry-optimized Ac2SbTe structure. The functional is PBE-GGA.

The structure belongs to space group Pmmn (No. 59, origin choice 2); the cell edges are 4.774, 6.737 and 9.537 Å and the angles 90.00°, 90.00° and 90.00°. Symmetry generates all atoms from Ac at (0.250, 0.250, 0.118), Ac at (0.250, 0.250, 0.633), Sb at (0.250, 0.750, 0.127) and Te at (0.250, 0.750, 0.623).

The total magnetic moment is 0.000 μB/atom. Its energy above the most stable polymorph in this dataset is 0 meV/atom. The value obtained for the final energy is -42.18 eV for the cell shown. The uncorrected formation energy comes out at -1.402 eV per atom.

This record from Alexandria describes a geometry-optimized AcDySiPd structure. The functional is PBE-GGA.

The structure belongs to space group F-43m (No. 216); the cell edges are 7.385, 7.385 and 7.385 Å and the angles 90.00°, 90.00° and 90.00°. Symmetry generates all atoms from Ac at (0.000, 0.000, 0.000), Dy at (0.000, 0.000, 0.500), Si at (0.250, 0.250, 0.750) and Pd at (0.250, 0.250, 0.250).

The total magnetic moment is 0.000 μB/atom. The value obtained for the final energy is -86.52 eV for the cell shown. The uncorrected formation energy comes out at -0.576 eV per atom.